(1)
The following is a meta-GGA SCAN calculation of a PBEsol-optimized structure of PtW2Cl, from Alexandria via LeMat-Bulk.

Cell lengths 5.6554, 8.4810, 2.7381 Å; angles 90.00, 108.75, 90.00 degrees
With the nearest neighbours (Å) after each atom.
Space group C2/m (No. 12)
Inequivalent atoms, fractional coordinates:
Pt  0.0000  0.0000  0.0000  4 W 2.67, 2 Pt 2.74, 2 Cl 2.83
W  0.2500  0.2500  0.5000  2 Cl 2.67, 2 Pt 2.67, 4 W 2.74-2.83
Cl  0.0000  0.5000  0.0000  4 W 2.67, 2 Cl 2.74, 2 Pt 2.83

Properties
Its calculated total energy is -427.90 eV per cell.

---

(2)
The following is a meta-GGA SCAN calculation of a PBEsol-optimized structure of PtW2Cl, from Alexandria via LeMat-Bulk.

Cell lengths 2.8630, 4.7779, 8.9436 Å; angles 90.00, 90.00, 90.00 degrees
With the nearest neighbours (Å) after each atom.
Space group Immm (No. 71)
Inequivalent atoms, fractional coordinates:
Pt  0.0000  0.0000  0.0000  4 Cl 2.79, 4 W 2.81, 2 Pt 2.86
W  0.0000  0.5000  0.2294  2 Cl 2.50
Cl  0.0000  0.0000  0.5000  4 W 2.50, 4 Pt 2.79

Properties
Its calculated total energy is -428.36 eV per cell.

---

Number 1: offset from the most stable computed form 396.4 meV/atom. Number 2: offset from the most stable computed form 338.6 meV/atom.